CaZrSb2: optimized geometry, PBE.

a b c (Å): 4.2168 4.2168 22.1092
angles (deg): 90.00 90.00 120.00
With the nearest neighbours (Å) after each atom.
Space group R-3m (No. 166, hexagonal axes)
Symmetry-distinct sites (fractional):
Ca (0.0000, 0.0000, 0.0000)  6 Sb 3.16
Zr (0.0000, 0.0000, 0.5000)  6 Sb 2.96
Sb (0.0000, 0.0000, 0.2425)  3 Zr 2.96, 3 Ca 3.16

Calculated values
As for the energy above the most stable polymorph in this dataset: 0.000 eV per atom. The calculation puts the uncorrected formation energy at -0.800 eV per atom. The size of the total moment is 0.00 μB/f.u. As for the energy: -0.4042 Ry/atom.